# DyHoInCo

An optimized crystal structure of DyHoInCo (PBE, Alexandria via LeMat-Bulk).

Output
- calculated total energy (eV/cell) = -20.3
- E_form (eV/atom) = -0.322
- energy above the lowest structure with this stoichiometry (eV/atom) = 0.000
- total magnetic moment (μB per cell) = 0.71

abc: 3.427 3.427 7.679
angles: 90.00 90.00 90.00
Space group P4mm (No. 99)
Inequivalent atoms, fractional coordinates:
Dy (0.000, 0.000, 0.000) [1 per cell]
Ho (0.000, 0.000, 0.576) [1 per cell]
In (0.500, 0.500, 0.289) [1 per cell]
Co (0.500, 0.500, 0.786) [1 per cell]